1.
NaNi4AsP2 | PBE-GGA | relaxed

Cell lengths 3.906, 3.906, 7.258 Å; angles 90.00, 90.00, 90.00 degrees
Element x y z (fractional)
Na: 0.000 0.000 0.000
Ni: 0.000 0.500 0.310
Ni: 0.000 0.500 0.690
Ni: 0.500 0.000 0.310
Ni: 0.500 0.000 0.690
As: 0.000 0.000 0.500
P: 0.500 0.500 0.157
P: 0.500 0.500 0.843

## Properties
SG	P4/mmm
magnetic moment	0.000	μB per formula unit
crystal system	tetragonal
formation enthalpy at 0 K	-325.1	kJ/mol of formula units

---

2.
NaPaNi2As2 | PBE-GGA | relaxed

Cell lengths 4.072, 4.072, 8.015 Å; angles 90.00, 90.00, 120.00 degrees
Element x y z (fractional)
Na: 0.000 0.000 0.000
Pa: 0.000 0.000 0.500
Ni: 0.333 0.667 0.290
Ni: 0.667 0.333 0.710
As: 0.333 0.667 0.738
As: 0.667 0.333 0.262

## Properties
SG	P-3m1
magnetic moment	0.000	μB per formula unit
crystal system	trigonal
formation enthalpy at 0 K	-387.4	kJ/mol of formula units

---

3.
Na2PaNiAs2 | PBE-GGA | relaxed

Cell lengths 4.299, 8.350, 7.018 Å; angles 90.00, 90.00, 90.00 degrees
Element x y z (fractional)
Na: 0.000 0.101 0.000
Na: 0.000 0.899 0.500
Na: 0.500 0.136 0.347
Na: 0.500 0.864 0.847
Pa: 0.500 0.475 0.009
Pa: 0.500 0.525 0.509
Ni: 0.000 0.349 0.644
Ni: 0.000 0.651 0.144
As: 0.000 0.377 0.279
As: 0.000 0.623 0.779
As: 0.500 0.208 0.746
As: 0.500 0.792 0.246

## Properties
SG	Pmc2_1
magnetic moment	0.242	μB per formula unit
crystal system	orthorhombic
formation enthalpy at 0 K	-333.1	kJ/mol of formula units

---

4.
Na2Ni3As4Pd | PBE-GGA | relaxed

Cell lengths 4.214, 4.214, 9.652 Å; angles 90.00, 90.00, 90.00 degrees
Element x y z (fractional)
Na: 0.000 0.500 0.249
Na: 0.500 0.000 0.751
Ni: 0.000 0.000 0.000
Ni: 0.000 0.500 0.621
Ni: 0.500 0.000 0.379
As: 0.000 0.000 0.500
As: 0.000 0.500 0.864
As: 0.500 0.000 0.136
As: 0.500 0.500 0.500
Pd: 0.500 0.500 0.000

## Properties
SG	P-4m2
magnetic moment	0.000	μB per formula unit
crystal system	tetragonal
formation enthalpy at 0 K	-327.1	kJ/mol of formula units